Material: NbCo3H
Method: DFT, PBE
State: optimized geometry

DOS at the Fermi energy (states/eV/atom): 1.08
VASP energy (eV/atom): -6.758
Energy above the most stable polymorph in this dataset (eV per atom): 0.369
V (Å³ per atom): 11.0

a = 4.916 Å, b = 4.916 Å, c = 4.803 Å
α = 90.00°, β = 90.00°, γ = 108.96°
Sites, in units of the cell vectors:
1 Nb 0.093 0.907 0.750
2 Nb 0.907 0.093 0.250
3 Co 0.000 0.393 0.750
4 Co 0.000 0.607 0.250
5 Co 0.393 0.000 0.250
6 Co 0.500 0.500 0.000
7 Co 0.500 0.500 0.500
8 Co 0.607 0.000 0.750
9 H 0.351 0.649 0.750
10 H 0.649 0.351 0.250

***

Material: NbCo3H
Method: DFT, PBE
State: optimized geometry

DOS at the Fermi energy (states/eV/atom): 1.07
VASP energy (eV/atom): -6.847
Energy above the most stable polymorph in this dataset (eV per atom): 0.280
V (Å³ per atom): 10.9

a = 6.170 Å, b = 6.170 Å, c = 5.912 Å
α = 115.50°, β = 115.50°, γ = 32.65°
Sites, in units of the cell vectors:
1 Nb 0.141 0.141 0.267
2 Nb 0.859 0.859 0.733
3 Co 0.203 0.203 0.825
4 Co 0.402 0.402 0.482
5 Co 0.437 0.437 0.105
6 Co 0.563 0.563 0.895
7 Co 0.598 0.598 0.518
8 Co 0.797 0.797 0.175
9 H 0.294 0.294 0.156
10 H 0.706 0.706 0.844

***

Material: Nb2CoH
Method: DFT, PBE
State: optimized geometry

DOS at the Fermi energy (states/eV/atom): 0.77
VASP energy (eV/atom): -7.130
Energy above the most stable polymorph in this dataset (eV per atom): 0.239
V (Å³ per atom): 14.7

a = 6.533 Å, b = 6.533 Å, c = 6.533 Å
α = 139.29°, β = 139.29°, γ = 58.93°
Sites, in units of the cell vectors:
1 Nb 0.040 0.625 0.915
2 Nb 0.375 0.290 0.415
3 Nb 0.710 0.125 0.085
4 Nb 0.875 0.960 0.585
5 Co 0.250 0.750 0.500
6 Co 0.500 0.500 0.000
7 H 0.000 0.000 0.000
8 H 0.750 0.250 0.500

***

- Which of these has the lowest V?
  number 2

***

- The highest VASP energy belongs to which entry?
  number 1

***

- Number 3 is which compound?
  Nb2CoH